No. 1
# PBE Ta2SiIr, relaxed
data_Ta2SiIr
_symmetry_space_group_name_H-M 'P 4 m m'
_symmetry_Int_Tables_number 99
_cell_length_a 2.858
_cell_length_b 2.858
_cell_length_c 7.719
_cell_angle_alpha 90.00
_cell_angle_beta 90.00
_cell_angle_gamma 90.00
loop_
_symmetry_equiv_pos_as_xyz
'x,y,z'
'-y,x,z'
'-x,-y,z'
'y,-x,z'
'-x,y,z'
'y,x,z'
'x,-y,z'
'-y,-x,z'
loop_
_atom_site_label
_atom_site_type_symbol
_atom_site_fract_x
_atom_site_fract_y
_atom_site_fract_z
Ta1 Ta 0.000 0.000 0.000
Ta2 Ta 0.500 0.500 0.306
Si1 Si 0.500 0.500 0.762
Ir1 Ir 0.000 0.000 0.575
# **Formation energy without anion corrections**: -0.40 eV/atom
# **Uncorrected energy**: -9.90 eV/atom
# **Density**: 15.33 g cm⁻³
# **Spin magnetization**: 0.00 μB/cell

No. 2
# PBE InAg2Pt, relaxed
data_InAg2Pt
_symmetry_space_group_name_H-M 'F -4 3 m'
_symmetry_Int_Tables_number 216
_symmetry_space_group_name_Hall 'F -4 2 3'
_cell_length_a 6.602
_cell_length_b 6.602
_cell_length_c 6.602
_cell_angle_alpha 90.00
_cell_angle_beta 90.00
_cell_angle_gamma 90.00
loop_
_atom_site_label
_atom_site_type_symbol
_atom_site_fract_x
_atom_site_fract_y
_atom_site_fract_z
In1 In 0.000 0.000 0.000
Ag1 Ag 0.000 0.000 0.500
Ag2 Ag 0.250 0.250 0.250
Pt1 Pt 0.250 0.250 0.750
# **Uncorrected energy**: -3.78 eV/atom
# **Density**: 12.13 g cm⁻³
# **Formation energy**: -0.1568 eV per atom
# **Spin magnetization**: 0.00 μB/cell

No. 3
# PBE Th2Ga3Cu4Sn, relaxed
data_Th2Ga3Cu4Sn
_symmetry_space_group_name_H-M 'P -4 m 2'
_symmetry_Int_Tables_number 115
_cell_length_a 4.272
_cell_length_b 4.272
_cell_length_c 10.292
_cell_angle_alpha 90.00
_cell_angle_beta 90.00
_cell_angle_gamma 90.00
loop_
_symmetry_equiv_pos_as_xyz
'x,y,z'
'y,-x,-z'
'-x,-y,z'
'-y,x,-z'
'-x,y,z'
'-y,-x,-z'
'x,-y,z'
'y,x,-z'
loop_
_atom_site_label
_atom_site_type_symbol
_atom_site_fract_x
_atom_site_fract_y
_atom_site_fract_z
Th1 Th 0.000 0.500 0.233
Ga1 Ga 0.000 0.500 0.878
Ga2 Ga 0.500 0.500 0.500
Cu1 Cu 0.000 0.000 0.000
Cu2 Cu 0.000 0.500 0.645
Cu3 Cu 0.500 0.500 0.000
Sn1 Sn 0.000 0.000 0.500
# **Uncorrected energy**: -4.84 eV/atom
# **Density**: 9.25 g cm⁻³
# **Formation energy**: -0.4129 eV per atom
# **Spin magnetization**: 0.00 μB/cell

No. 4
# PBE Tl5I2Cl3, relaxed
data_Tl5I2Cl3
_symmetry_space_group_name_H-M 'C 1 2/m 1'
_symmetry_Int_Tables_number 12
_cell_length_a 16.932
_cell_length_b 4.699
_cell_length_c 12.090
_cell_angle_alpha 90.00
_cell_angle_beta 126.16
_cell_angle_gamma 90.00
loop_
_symmetry_equiv_pos_as_xyz
'x,y,z'
'-x,-y,-z'
'-x,y,-z'
'x,-y,z'
'x+1/2,y+1/2,z'
'-x+1/2,-y+1/2,-z'
'-x+1/2,y+1/2,-z'
'x+1/2,-y+1/2,z'
loop_
_atom_site_label
_atom_site_type_symbol
_atom_site_fract_x
_atom_site_fract_y
_atom_site_fract_z
Tl1 Tl 0.000 0.000 0.000
Tl2 Tl 0.088 0.000 0.411
Tl3 Tl 0.202 0.500 0.806
I1 I 0.161 0.500 0.265
Cl1 Cl 0.000 0.500 0.500
Cl2 Cl 0.117 0.000 0.872
# **Formation energy without anion corrections**: -0.86 eV/atom
# **Uncorrected energy**: -2.91 eV/atom
# **Density**: 5.91 g cm⁻³
# **Spin magnetization**: 0.00 μB/cell

No. 5
# PBE YBe2In, relaxed
data_YBe2In
_symmetry_space_group_name_H-M 'P 4/m m m'
_symmetry_Int_Tables_number 123
_symmetry_space_group_name_Hall '-P 4 2'
_cell_length_a 4.378
_cell_length_b 4.378
_cell_length_c 3.776
_cell_angle_alpha 90.00
_cell_angle_beta 90.00
_cell_angle_gamma 90.00
loop_
_atom_site_label
_atom_site_type_symbol
_atom_site_fract_x
_atom_site_fract_y
_atom_site_fract_z
Y1 Y 0.000 0.000 0.000
Be1 Be 0.000 0.500 0.500
In1 In 0.500 0.500 0.000
# **Uncorrected energy**: -4.02 eV/atom
# **Density**: 5.09 g cm⁻³
# **Formation energy**: 0.1438 eV per atom
# **Spin magnetization**: 0.00 μB/cell

No. 6
# PBE Li5Tb12Sn3, relaxed
data_Li5Tb12Sn3
_symmetry_space_group_name_H-M 'I a -3 d'
_symmetry_Int_Tables_number 230
_symmetry_space_group_name_Hall '-I 4bd 2c 3'
_cell_length_a 17.352
_cell_length_b 17.352
_cell_length_c 17.352
_cell_angle_alpha 90.00
_cell_angle_beta 90.00
_cell_angle_gamma 90.00
loop_
_atom_site_label
_atom_site_type_symbol
_atom_site_fract_x
_atom_site_fract_y
_atom_site_fract_z
Li1 Li 0.000 0.000 0.000
Li2 Li 0.000 0.250 0.375
Tb1 Tb 0.017 0.071 0.648
Sn1 Sn 0.000 0.250 0.125
# **Uncorrected energy**: -3.50 eV/atom
# **Density**: 5.84 g cm⁻³
# **Formation energy**: 0.3531 eV per atom
# **Spin magnetization**: 27.33 μB/cell

No. 7
# PBE Sm4ZrSe5, relaxed
data_Sm4ZrSe5
_symmetry_space_group_name_H-M 'R -3 m'
_symmetry_Int_Tables_number 166
_symmetry_space_group_name_Hall '-R 3 2"'
_cell_length_a 4.1070
_cell_length_b 4.1070
_cell_length_c 50.5546
_cell_angle_alpha 90.00
_cell_angle_beta 90.00
_cell_angle_gamma 120.00
loop_
_atom_site_label
_atom_site_type_symbol
_atom_site_fract_x
_atom_site_fract_y
_atom_site_fract_z
Sm1 Sm 0.0000 0.0000 0.1037
Sm2 Sm 0.0000 0.0000 0.2991
Zr1 Zr 0.0000 0.0000 0.5000
Se1 Se 0.0000 0.0000 0.0000
Se2 Se 0.0000 0.0000 0.1959
Se3 Se 0.0000 0.0000 0.4024
# **Formation energy without anion corrections**: -1.65 eV/atom
# **Uncorrected energy**: -6.13 eV/atom
# **Density**: 7.34 g cm⁻³
# **Spin magnetization**: 0.00 μB/cell

Number 1: density of states at the Fermi level 1.64 states/eV/f.u.. Number 2: density of states at the Fermi level 2.30 states/eV/f.u.. Number 3: density of states at the Fermi level 5.90 states/eV/f.u.. Number 4: density of states at the Fermi level 0.00 states/eV/f.u.. Number 5: density of states at the Fermi level 2.54 states/eV/f.u.. Number 6: density of states at the Fermi level 28.55 states/eV/f.u.. Number 7: density of states at the Fermi level 4.50 states/eV/f.u..